Co2SbP: optimized geometry, PBE.

Unit cell a=3.6040 b=3.6040 c=15.8352 alpha=90.00 beta=90.00 gamma=120.00
Space group R3m (No. 160, hexagonal axes)
Unique sites:
Co (0.0000, 0.0000, 0.0000) x3
Co (0.0000, 0.0000, 0.2270) x3
Sb (0.0000, 0.0000, 0.7837) x3
P (0.0000, 0.0000, 0.6094) x3

Values from the calculation:
crystal system = trigonal
formation energy (no corrections) = -125 meV/atom